DFT (PBE) results for an optimized crystal structure of MnGa2HgOs.

Summary:
- Total DFT energy (no corrections): -4.717 eV/atom
- Calculated formation energy: 0.6342 eV/atom
- Calculated volume: 120.4 Å³ per cell

Structure (POSCAR):
```
MnGa2HgOs
1.0
4.767 0.000 0.000
0.000 4.767 0.000
0.000 0.000 5.297
Mn Ga Hg Os
1 2 1 1
Direct
0.000 0.000 0.000
0.000 0.500 0.500
0.500 0.000 0.500
0.500 0.500 0.000
0.500 0.500 0.500
```


DFT (PBE) results for an optimized crystal structure of MnGaHg2Pd.

Summary:
- Total DFT energy (no corrections): -2.898 eV/atom
- Calculated formation energy: 0.7006 eV/atom
- Calculated volume: 126.7 Å³ per cell

Structure (POSCAR):
```
MnGaHg2Pd
1.0
5.100 0.000 0.000
0.000 5.100 0.000
0.000 0.000 4.871
Mn Ga Hg Pd
1 1 2 1
Direct
0.000 0.000 0.000
0.000 0.000 0.500
0.000 0.500 0.500
0.500 0.000 0.500
0.500 0.500 0.000
```


DFT (PBE) results for an optimized crystal structure of MnGaHgPd2.

Summary:
- Total DFT energy (no corrections): -3.648 eV/atom
- Calculated formation energy: 0.9288 eV/atom
- Calculated volume: 132.7 Å³ per cell

Structure (POSCAR):
```
MnGaHgPd2
1.0
5.217 0.000 0.000
0.000 5.217 0.000
0.000 0.000 4.876
Mn Ga Hg Pd
1 1 1 2
Direct
0.000 0.000 0.000
0.500 0.500 0.000
0.500 0.500 0.500
0.000 0.500 0.500
0.500 0.000 0.500
```


DFT (PBE) results for an optimized crystal structure of MnGaHg2Pt.

Summary:
- Total DFT energy (no corrections): -2.930 eV/atom
- Calculated formation energy: 0.8379 eV/atom
- Calculated volume: 116.7 Å³ per cell

Structure (POSCAR):
```
MnGaHg2Pt
1.0
4.941 0.000 0.000
0.000 4.941 0.000
0.000 0.000 4.779
Mn Ga Hg Pt
1 1 2 1
Direct
0.000 0.000 0.000
0.000 0.000 0.500
0.000 0.500 0.500
0.500 0.000 0.500
0.500 0.500 0.000
```


DFT (PBE) results for an optimized crystal structure of MnGa2HgPt.

Summary:
- Total DFT energy (no corrections): -3.381 eV/atom
- Calculated formation energy: 0.9320 eV/atom
- Calculated volume: 129.3 Å³ per cell

Structure (POSCAR):
```
MnGa2HgPt
1.0
5.014 0.000 0.000
0.000 5.014 0.000
0.000 0.000 5.144
Mn Ga Hg Pt
1 2 1 1
Direct
0.000 0.000 0.000
0.000 0.500 0.500
0.500 0.000 0.500
0.500 0.500 0.500
0.500 0.500 0.000
```


DFT (PBE) results for an optimized crystal structure of MnGaHg2Ru.

Summary:
- Total DFT energy (no corrections): -3.379 eV/atom
- Calculated formation energy: 1.0366 eV/atom
- Calculated volume: 118.9 Å³ per cell

Structure (POSCAR):
```
MnGaHg2Ru
1.0
5.000 0.000 0.000
0.000 5.000 0.000
0.000 0.000 4.756
Mn Ga Hg Ru
1 1 2 1
Direct
0.000 0.000 0.000
0.500 0.500 0.500
0.000 0.500 0.500
0.500 0.000 0.500
0.500 0.500 0.000
```


DFT (PBE) results for an optimized crystal structure of MnGaHgSe2.

Summary:
- Total DFT energy (no corrections): -3.822 eV/atom
- Calculated volume: 118.5 Å³ per cell

Structure (POSCAR):
```
MnGaHgSe2
1.0
4.845 0.000 0.000
0.000 4.845 0.000
0.000 0.000 5.048
Mn Ga Hg Se
1 1 1 2
Direct
0.000 0.000 0.000
0.000 0.000 0.500
0.500 0.500 0.500
0.000 0.500 0.000
0.500 0.000 0.000
```


DFT (PBE) results for an optimized crystal structure of MnGa2HgSe6.

Summary:
- Total DFT energy (no corrections): -3.919 eV/atom
- Calculated volume: 559.8 Å³ per cell

Structure (POSCAR):
```
MnGa2HgSe6
1.0
6.829 -6.271 0.000
6.829 6.271 0.000
-3.056 0.000 6.535
Mn Ga Hg Se
2 4 2 12
Direct
0.176 0.824 0.750
0.824 0.176 0.250
0.222 0.396 0.330
0.396 0.222 0.830
0.604 0.778 0.170
0.778 0.604 0.670
0.206 0.794 0.250
0.794 0.206 0.750
0.035 0.196 0.132
0.081 0.637 0.407
0.196 0.035 0.632
0.331 0.441 0.080
0.363 0.919 0.093
0.441 0.331 0.580
0.559 0.669 0.420
0.637 0.081 0.907
0.669 0.559 0.920
0.804 0.965 0.368
0.919 0.363 0.593
0.965 0.804 0.868
```


DFT (PBE) results for an optimized crystal structure of MnGa2SnHg.

Summary:
- Total DFT energy (no corrections): -3.788 eV/atom
- Calculated formation energy: 0.1176 eV/atom
- Calculated volume: 113.0 Å³ per cell

Structure (POSCAR):
```
MnGa2SnHg
1.0
4.762 0.000 0.000
0.000 4.762 0.000
0.000 0.000 4.983
Mn Ga Sn Hg
1 2 1 1
Direct
0.000 0.000 0.000
0.000 0.500 0.000
0.500 0.000 0.000
0.000 0.000 0.500
0.500 0.500 0.500
```


DFT (PBE) results for an optimized crystal structure of MnGaSn2Hg.

Summary:
- Total DFT energy (no corrections): -4.036 eV/atom
- Calculated formation energy: 0.0652 eV/atom
- Calculated volume: 118.8 Å³ per cell

Structure (POSCAR):
```
MnGaSn2Hg
1.0
4.984 0.000 0.000
0.000 4.984 0.000
0.000 0.000 4.780
Mn Ga Sn Hg
1 1 2 1
Direct
0.000 0.000 0.000
0.000 0.000 0.500
0.000 0.500 0.000
0.500 0.000 0.000
0.500 0.500 0.500
```


DFT (PBE) results for an optimized crystal structure of GaNi2HgMo.

Summary:
- Total DFT energy (no corrections): -4.087 eV/atom
- Calculated formation energy: 1.0577 eV/atom
- Calculated volume: 103.2 Å³ per cell

Structure (POSCAR):
```
GaNi2HgMo
1.0
4.553 0.000 0.000
0.000 4.553 0.000
0.000 0.000 4.979
Ga Ni Hg Mo
1 2 1 1
Direct
0.000 0.000 0.000
0.000 0.500 0.500
0.500 0.000 0.500
0.500 0.500 0.000
0.000 0.000 0.500
```


DFT (PBE) results for an optimized crystal structure of GaHg2MoSe.

Summary:
- Total DFT energy (no corrections): -2.696 eV/atom
- Calculated volume: 147.9 Å³ per cell

Structure (POSCAR):
```
GaHg2MoSe
1.0
5.534 0.000 0.000
0.000 5.534 0.000
0.000 0.000 4.830
Ga Hg Mo Se
1 2 1 1
Direct
0.000 0.000 0.000
0.000 0.500 0.500
0.500 0.000 0.500
0.500 0.500 0.000
0.500 0.500 0.500
```